No. 1
The following is a PBE-GGA calculation of crystalline NaAcDy2S4 at its relaxed geometry, from Alexandria via LeMat-Bulk.

Cell lengths 6.9458, 4.0082, 7.1763 Å; angles 90.00, 108.67, 90.00 degrees
Space group P2/m (No. 10)
Unique sites:
Na (0.0000, 0.0000, 0.0000)
Ac (0.5000, 0.5000, 0.0000)
Dy (0.0000, 0.5000, 0.5000)
Dy (0.5000, 0.0000, 0.5000)
S (0.2353, 0.0000, 0.7273)
S (0.2537, 0.5000, 0.2715)

Output
**Density of states at the Fermi level**: 2.5 states/eV/cell
**Energy**: -5.802 eV per atom
**Uncorrected formation energy**: -1.91 eV/atom

=====

No. 2
The following is a PBE-GGA calculation of crystalline HfP2Br2 at its relaxed geometry, from Alexandria via LeMat-Bulk.

Cell lengths 3.2875, 3.2875, 21.8099 Å; angles 90.00, 90.00, 90.00 degrees
Space group I4/mmm (No. 139)
Unique sites:
Hf (0.0000, 0.0000, 0.0000)
P (0.0000, 0.5000, 0.2500)
Br (0.0000, 0.0000, 0.4247)

Output
**Polymorph energy (0 for the lowest one)**: 0.0 meV/atom
**Density of states at the Fermi level**: 5.0 states/eV/cell
**Energy**: -5.104 eV per atom
**Uncorrected formation energy**: -0.28 eV/atom

=====

No. 3
The following is a PBE-GGA calculation of crystalline LiTa2Cl at its relaxed geometry, from Alexandria via LeMat-Bulk.

Cell lengths 3.7368, 3.7368, 22.3046 Å; angles 90.00, 90.00, 90.00 degrees
Space group I-42d (No. 122)
Unique sites:
Li (0.0000, 0.0000, 0.0000)
Ta (0.2464, 0.2500, 0.1250)
Cl (0.0000, 0.0000, 0.5000)

Output
**Polymorph energy (0 for the lowest one)**: 623.9 meV/atom
**Density of states at the Fermi level**: 10.2 states/eV/cell
**Energy**: -6.376 eV per atom
**Uncorrected formation energy**: 0.49 eV/atom

=====

No. 4
The following is a PBE-GGA calculation of crystalline Ba2SrLiIn at its relaxed geometry, from Alexandria via LeMat-Bulk.

Cell lengths 6.4062, 6.4062, 5.2811 Å; angles 90.00, 90.00, 90.00 degrees
Space group P4/mmm (No. 123)
Unique sites:
Ba (0.0000, 0.5000, 0.0000)
Sr (0.0000, 0.0000, 0.5000)
Li (0.5000, 0.5000, 0.0000)
In (0.5000, 0.5000, 0.5000)

Output
**Polymorph energy (0 for the lowest one)**: 0.0 meV/atom
**Density of states at the Fermi level**: 2.4 states/eV/cell
**DFT formation energy**: -0.03 eV/atom
**Energy**: -2.062 eV per atom

=====

No. 5
The following is a PBE-GGA calculation of crystalline Li3Np3InTe8 at its relaxed geometry, from Alexandria via LeMat-Bulk.

Cell lengths 14.8833, 8.7422, 8.6191 Å; angles 90.00, 124.06, 90.00 degrees
Space group C2/m (No. 12)
Unique sites:
Li (0.0000, 0.0000, 0.0000)
Li (0.2500, 0.2500, 0.5000)
Np (0.0000, 0.5000, 0.5000)
Np (0.2500, 0.2500, 0.0000)
In (0.0000, 0.0000, 0.5000)
Te (0.0017, 0.2467, 0.2505)
Te (0.2469, 0.0000, 0.2542)
Te (0.2495, 0.5000, 0.2518)

Output
**Density of states at the Fermi level**: 47.0 states/eV/cell
**Energy**: -5.481 eV per atom
**Uncorrected formation energy**: -0.65 eV/atom

=====

No. 6
The following is a PBE-GGA calculation of crystalline MnCr2Mo at its relaxed geometry, from Alexandria via LeMat-Bulk.

Cell lengths 6.5688, 6.5688, 4.9402 Å; angles 90.00, 90.00, 90.00 degrees
Space group I-42d (No. 122)
Unique sites:
Mn (0.0000, 0.0000, 0.0000)
Cr (0.2248, 0.2500, 0.1250)
Mo (0.0000, 0.0000, 0.5000)

Output
**Polymorph energy (0 for the lowest one)**: 626.0 meV/atom
**Density of states at the Fermi level**: 22.3 states/eV/cell
**DFT formation energy**: 0.71 eV/atom
**Energy**: -9.098 eV per atom

=====

No. 7
The following is a PBE-GGA calculation of crystalline Th2CuSi at its relaxed geometry, from Alexandria via LeMat-Bulk.

Cell lengths 3.8802, 3.8802, 27.8301 Å; angles 90.00, 90.00, 120.00 degrees
Space group R-3m (No. 166, hexagonal axes)
Unique sites:
Th (0.0000, 0.0000, 0.1025)
Cu (0.0000, 0.0000, 0.0000)
Si (0.0000, 0.0000, 0.5000)

Output
**Polymorph energy (0 for the lowest one)**: 765.2 meV/atom
**Density of states at the Fermi level**: 12.1 states/eV/cell
**Energy**: -5.775 eV per atom
**Uncorrected formation energy**: 0.31 eV/atom

=====

No. 8
The following is a PBE-GGA calculation of crystalline TiZn5Ir6 at its relaxed geometry, from Alexandria via LeMat-Bulk.

Cell lengths 4.2935, 6.1261, 12.8813 Å; angles 90.00, 90.00, 90.00 degrees
Space group Immm (No. 71)
Unique sites:
Ti (0.0000, 0.0000, 0.0000)
Zn (0.0000, 0.0000, 0.3312)
Zn (0.0000, 0.5000, 0.0000)
Zn (0.0000, 0.5000, 0.3365)
Ir (0.0000, 0.2456, 0.5000)
Ir (0.0000, 0.2526, 0.1667)

Output
**Density of states at the Fermi level**: 14.6 states/eV/cell
**DFT formation energy**: -0.33 eV/atom
**Energy**: -5.949 eV per atom

=====

No. 9
The following is a PBE-GGA calculation of crystalline CuSn2Pd at its relaxed geometry, from Alexandria via LeMat-Bulk.

Cell lengths 4.4877, 4.4804, 8.2815 Å; angles 90.00, 105.60, 90.00 degrees
Space group C2 (No. 5)
Unique sites:
Cu (0.0000, 0.0000, 0.0000)
Sn (0.1122, 0.7440, 0.7283)
Pd (0.0000, 0.2433, 0.5000)

Output
**Polymorph energy (0 for the lowest one)**: 129.0 meV/atom
**Density of states at the Fermi level**: 2.9 states/eV/cell
**DFT formation energy**: -0.11 eV/atom
**Energy**: -4.437 eV per atom